Compound: TcAsOF2
Source: Alexandria
Functional: PBE
Structure: relaxed

- E_form (uncorrected) (eV per atom) = -0.336
- total magnetic moment (μB/cell) = 4.2

abc: 4.395 4.395 3.920
angles: 90.00 90.00 90.00
Space group P4/mmm (No. 123)
Asymmetric unit:
Tc  0.000  0.000  0.000
As  0.500  0.500  0.500
O  0.500  0.500  0.000
F  0.000  0.500  0.500

***

Compound: TcAsOF2
Source: Alexandria
Functional: PBE
Structure: relaxed

- E_form (uncorrected) (eV per atom) = -0.626
- total magnetic moment (μB/cell) = 1.2

abc: 4.332 4.332 3.750
angles: 90.00 90.00 90.00
Space group P4/mmm (No. 123)
Asymmetric unit:
Tc  0.000  0.000  0.000
As  0.500  0.500  0.500
O  0.000  0.000  0.500
F  0.000  0.500  0.000

***

Compound: TeAsOF2
Source: Alexandria
Functional: PBE
Structure: relaxed

- E_form (uncorrected) (eV per atom) = -0.499
- total magnetic moment (μB/cell) = 2.6

abc: 4.651 4.651 4.099
angles: 90.00 90.00 90.00
Space group P4/mmm (No. 123)
Asymmetric unit:
Te  0.000  0.000  0.000
As  0.500  0.500  0.500
O  0.000  0.000  0.500
F  0.000  0.500  0.000